This record from Alexandria via LeMat-Bulk describes an optimized crystal structure of Nd12Si6Sn. The functional is GGA-PBE.

Results
N(E_F) (states/eV per cell): 22.36
Raw formation energy (eV per atom): -0.5597
E_tot (eV/atom): -5.494

Cell: 10.2806 10.2806 10.2806 Å, 90.00 90.00 90.00°
Closest atoms and distances in Å follow each position.
Space group Im-3 (No. 204)
Asymmetric unit:
Nd 0.0000 0.2969 0.1885  3 Si 2.91-3.08
Si 0.0000 0.1138 0.5000  1 Si 2.34
Sn 0.0000 0.0000 0.0000  12 Nd 3.62

***

This record from Alexandria via LeMat-Bulk describes an optimized crystal structure of Nd6Si2SnTe3. The functional is GGA-PBE.

Results
N(E_F) (states/eV per cell): 5.53
Raw formation energy (eV per atom): -1.1101
E_tot (eV/atom): -5.517

Cell: 19.4697 4.4085 8.9774 Å, 90.00 104.31 90.00°
Closest atoms and distances in Å follow each position.
Space group C2/m (No. 12)
Asymmetric unit:
Nd 0.0083 0.0000 0.2511  1 Si 3.01, 2 Sn 3.13, 3 Te 3.17-3.26
Nd 0.1671 0.5000 0.1042  2 Si 3.02, 1 Sn 3.16, 3 Te 3.19-3.28
Nd 0.1733 0.5000 0.5681  3 Si 3.00-3.02, 3 Te 3.27-3.28
Si 0.1678 0.0000 0.3351  6 Nd 3.00-3.02
Sn 0.0000 0.5000 0.0000  6 Nd 3.13-3.16
Te 0.0000 0.5000 0.5000  6 Nd 3.17-3.28
Te 0.1644 0.0000 0.8321  6 Nd 3.19-3.28

***

This record from Alexandria via LeMat-Bulk describes an optimized crystal structure of SrNdSi3. The functional is GGA-PBE.

Results
N(E_F) (states/eV per cell): 12.64
Raw formation energy (eV per atom): -0.5166
E_tot (eV/atom): -5.060

Cell: 4.4118 25.5911 4.1059 Å, 90.00 90.00 90.00°
Closest atoms and distances in Å follow each position.
Space group Cmcm (No. 63)
Asymmetric unit:
Sr 0.0000 0.2012 0.2500  7 Si 3.15-3.47
Nd 0.0000 0.0669 0.7500  12 Si 3.17-3.31
Si 0.0000 0.3368 0.2500  2 Si 2.42
Si 0.0000 0.3866 0.7500  3 Si 2.34-2.42
Si 0.0000 0.4780 0.7500  3 Si 2.34

***

This record from Alexandria via LeMat-Bulk describes an optimized crystal structure of SrNdSi4. The functional is GGA-PBE.

Results
N(E_F) (states/eV per cell): 6.40
Raw formation energy (eV per atom): -0.4766
E_tot (eV/atom): -5.167

Cell: 4.3591 4.3591 13.6858 Å, 90.00 90.00 90.00°
Closest atoms and distances in Å follow each position.
Space group I-4m2 (No. 119)
Asymmetric unit:
Sr 0.0000 0.0000 0.0000  12 Si 3.15-3.30
Nd 0.0000 0.5000 0.2500  12 Si 3.12-3.29
Si 0.0000 0.0000 0.4136  3 Si 2.37-2.44
Si 0.0000 0.5000 0.6665  3 Si 2.28-2.44

***

This record from Alexandria via LeMat-Bulk describes an optimized crystal structure of NdTaSi2. The functional is GGA-PBE.

Results
N(E_F) (states/eV per cell): 2.80
Raw formation energy (eV per atom): -0.3652
E_tot (eV/atom): -7.232

Cell: 3.9188 3.9188 19.1649 Å, 90.00 90.00 120.00°
Closest atoms and distances in Å follow each position.
Space group R-3m (No. 166, hexagonal axes)
Asymmetric unit:
Nd 0.0000 0.0000 0.0000  6 Si 2.94
Ta 0.0000 0.0000 0.5000  6 Si 2.62
Si 0.0000 0.0000 0.2354  3 Ta 2.62

***

This record from Alexandria via LeMat-Bulk describes an optimized crystal structure of Nd2Ta3Si4. The functional is GGA-PBE.

Results
N(E_F) (states/eV per cell): 8.70
Raw formation energy (eV per atom): -0.6711
E_tot (eV/atom): -8.092

Cell: 7.1304 7.1412 7.0071 Å, 90.00 108.84 90.00°
Closest atoms and distances in Å follow each position.
Space group P2_1/c (No. 14)
Asymmetric unit:
Nd 0.1853 0.1675 0.0639  7 Si 2.89-3.18
Ta 0.2596 0.6737 0.2483  6 Si 2.59-2.81
Ta 0.5000 0.0000 0.5000  6 Si 2.76-2.81, 4 Ta 3.07-3.09
Si 0.0886 0.5409 0.8729  1 Si 2.56, 4 Ta 2.66-2.81
Si 0.4964 0.1261 0.8718  1 Si 2.53, 5 Ta 2.59-2.81

***

This record from Alexandria via LeMat-Bulk describes an optimized crystal structure of TbNdSi. The functional is GGA-PBE.

Results
N(E_F) (states/eV per cell): 1.49
Raw formation energy (eV per atom): -0.3046
E_tot (eV/atom): -5.245

Cell: 4.7010 4.7010 4.2590 Å, 90.00 90.00 120.00°
Closest atoms and distances in Å follow each position.
Space group P3m1 (No. 156)
Asymmetric unit:
Tb 0.0000 0.0000 0.0000  3 Si 2.83
Nd 0.3333 0.6667 0.4652  3 Si 3.10, 3 Tb 3.36
Si 0.6667 0.3333 0.8159  3 Tb 2.83, 3 Nd 3.10

***

This record from Alexandria via LeMat-Bulk describes an optimized crystal structure of TbNdSi. The functional is GGA-PBE.

Results
N(E_F) (states/eV per cell): 59.53
Raw formation energy (eV per atom): -0.3567
E_tot (eV/atom): -5.297

Cell: 9.0068 11.8866 13.6511 Å, 90.00 90.00 90.00°
Closest atoms and distances in Å follow each position.
Space group Fddd (No. 70, origin choice 2)
Asymmetric unit:
Tb 0.1250 0.1250 0.2571  4 Si 2.85-2.92
Nd 0.0000 0.0000 0.5000  2 Si 2.98
Si 0.1250 0.3181 0.1250  4 Tb 2.85-2.92, 2 Nd 2.98